Record 1
The following is a GGA-PBE calculation of La8Y3Mg2 after structural relaxation, from Alexandria via LeMat-Bulk.

Results
energy = -61.1 eV per cell
DFT formation energy = 0.85 eV per formula unit
calculated volume = 449 Å³/cell
Fermi-level density of states = 20.79 states/eV/cell

Lattice parameters (Å, degrees): 7.301 10.181 7.890 79.12 51.30 83.40
Sites, in units of the cell vectors:
La (0.302, 0.128, 0.507)
La (0.021, 0.322, 0.922)
La (0.216, 0.794, 0.486)
La (0.979, 0.678, 0.078)
La (0.698, 0.872, 0.493)
La (0.562, 0.685, 0.976)
La (0.784, 0.206, 0.514)
La (0.438, 0.315, 0.024)
Y (0.244, 0.004, 0.012)
Y (0.000, 0.500, 0.500)
Y (0.756, 0.996, 0.988)
Mg (0.478, 0.563, 0.653)
Mg (0.522, 0.437, 0.347)

---

Record 2
The following is a GGA-PBE calculation of La2Y2Mg after structural relaxation, from Alexandria via LeMat-Bulk.

Results
energy = -48.6 eV per cell
DFT formation energy = 0.10 eV per formula unit
calculated volume = 332 Å³/cell
relative energy among the computed polymorphs = 0 meV/atom
Fermi-level density of states = 11.33 states/eV/cell

Lattice parameters (Å, degrees): 5.770 7.120 8.733 101.08 109.29 90.00
Sites, in units of the cell vectors:
Mg (0.000, 0.250, 0.000)
Mg (0.000, 0.750, 0.000)
La (0.392, 0.831, 0.785)
La (0.608, 0.169, 0.215)
La (0.608, 0.669, 0.215)
La (0.392, 0.331, 0.785)
Y (0.193, 0.989, 0.386)
Y (0.807, 0.511, 0.614)
Y (0.807, 0.011, 0.614)
Y (0.193, 0.489, 0.386)

---

Record 3
The following is a GGA-PBE calculation of LaY5Mg after structural relaxation, from Alexandria via LeMat-Bulk.

Results
energy = -75.1 eV per cell
DFT formation energy = 1.31 eV per formula unit
calculated volume = 457 Å³/cell
Fermi-level density of states = 22.50 states/eV/cell

Lattice parameters (Å, degrees): 6.754 6.754 12.927 68.84 68.84 58.31
Sites, in units of the cell vectors:
Y (0.275, 0.725, 0.250)
Y (0.673, 0.832, 0.703)
Y (0.832, 0.673, 0.203)
Y (0.308, 0.358, 0.520)
Y (0.642, 0.692, 0.980)
Y (0.725, 0.275, 0.750)
Y (0.358, 0.308, 0.020)
Y (0.327, 0.168, 0.297)
Y (0.692, 0.642, 0.480)
Y (0.168, 0.327, 0.797)
La (0.806, 0.194, 0.250)
La (0.194, 0.806, 0.750)
Mg (0.000, 0.000, 0.500)
Mg (0.000, 0.000, 0.000)

---

Record 4
The following is a GGA-PBE calculation of LaY4Mg after structural relaxation, from Alexandria via LeMat-Bulk.

Results
energy = -32.5 eV per cell
DFT formation energy = -0.09 eV per formula unit
calculated volume = 190 Å³/cell
relative energy among the computed polymorphs = 0 meV/atom
Fermi-level density of states = 9.38 states/eV/cell

Lattice parameters (Å, degrees): 3.672 3.672 14.114 90.00 90.00 90.00
Sites, in units of the cell vectors:
Y (0.000, 0.000, 0.645)
Y (0.500, 0.500, 0.819)
Y (0.000, 0.000, 0.355)
Y (0.500, 0.500, 0.181)
Mg (0.500, 0.500, 0.500)
La (0.000, 0.000, 0.000)